Y3Mg3Cu2Ir after structural relaxation. Source: OQMD, functional PBE.

```
data_Y3Mg3Cu2Ir
_cell_length_a 7.264
_cell_length_b 7.264
_cell_length_c 4.194
_cell_angle_alpha 90.00
_cell_angle_beta 90.00
_cell_angle_gamma 120.00
_space_group_name_H-M_alt 'P 1'
_space_group_IT_number 1
loop_
_space_group_symop_operation_xyz
'x,y,z'
loop_
_atom_site_label
_atom_site_fract_x
_atom_site_fract_y
_atom_site_fract_z
Ir1 0.000 0.000 0.000
Cu1 0.333 0.667 0.500
Cu2 0.667 0.333 0.500
Y1 0.404 0.404 0.000
Y2 0.000 0.596 0.000
Y3 0.596 0.000 0.000
Mg1 0.241 0.000 0.500
Mg2 0.000 0.241 0.500
Mg3 0.759 0.759 0.500
```

Properties
Its density is 5.710 Mg/m³. The value obtained for the total energy is -43.457 eV per cell. Its size of the total moment is 0.1 μB per formula unit.